1.
Compound: ReCl2F
Source: Alexandria
Functional: PBE-GGA
Structure: optimized geometry

Properties
Formation energy (no corrections): 0.09 eV/atom
Calculated density: 5.69 g/cm3

abc: 6.0140 6.0140 6.0140
angles: 116.34 116.34 96.46
Atoms (fractional coordinates):
Re 0.0000 0.0000 0.0000
Re 0.7500 0.2500 0.5000
Cl 0.0708 0.6250 0.9458
Cl 0.3750 0.3208 0.4458
Cl 0.6792 0.1250 0.0542
Cl 0.8750 0.9292 0.5542
F 0.2500 0.7500 0.5000
F 0.5000 0.5000 0.0000

---

2.
Compound: ReCl2F6
Source: Alexandria
Functional: PBE-GGA
Structure: optimized geometry

Properties
Formation energy (no corrections): -1.41 eV/atom
Calculated density: 3.69 g/cm3

abc: 6.8904 6.8904 3.6985
angles: 100.94 100.94 78.41
Atoms (fractional coordinates):
Re 0.0000 0.0000 0.0000
Cl 0.4047 0.4047 0.4347
Cl 0.5953 0.5953 0.5653
F 0.0074 0.7194 0.9038
F 0.1239 0.8761 0.5000
F 0.2806 0.9926 0.0962
F 0.7194 0.0074 0.9038
F 0.8761 0.1239 0.5000
F 0.9926 0.2806 0.0962

---

3.
Compound: ReCl2F
Source: Alexandria
Functional: PBE-GGA
Structure: optimized geometry

Properties
Formation energy (no corrections): 0.04 eV/atom
Calculated density: 6.94 g/cm3

abc: 8.1185 8.1185 8.1185
angles: 22.04 22.04 22.04
Atoms (fractional coordinates):
Re 0.0000 0.0000 0.0000
Cl 0.4056 0.4056 0.4056
Cl 0.5944 0.5944 0.5944
F 0.5000 0.5000 0.5000

---

4.
Compound: Re2Cl6F
Source: Alexandria
Functional: PBE-GGA
Structure: optimized geometry

Properties
Formation energy (no corrections): -0.75 eV/atom
Calculated density: 3.29 g/cm3

abc: 7.7534 7.7534 12.2291
angles: 92.38 92.38 123.60
Atoms (fractional coordinates):
Re 0.0474 0.2379 0.2242
Re 0.2379 0.0474 0.7242
Re 0.7621 0.9526 0.2758
Re 0.9526 0.7621 0.7758
Cl 0.0230 0.7492 0.9543
Cl 0.1831 0.2985 0.7067
Cl 0.1858 0.4599 0.3758
Cl 0.2508 0.9770 0.5457
Cl 0.2985 0.1831 0.2067
Cl 0.4599 0.1858 0.8758
Cl 0.5401 0.8142 0.1242
Cl 0.7015 0.8169 0.7933
Cl 0.7492 0.0230 0.4543
Cl 0.8142 0.5401 0.6242
Cl 0.8169 0.7015 0.2933
Cl 0.9770 0.2508 0.0457
F 0.2330 0.7670 0.7500
F 0.7670 0.2330 0.2500

---

> Which of these has the highest formation energy (no corrections)?

number 1